# Pm3V5O12 (GGA+U, relaxed)
# Uncorrected energy in eV for the cell shown: -1291.7
data_Pm3V5O12
_chemical_formula_sum 'Pm24 V40 O96'
_space_group_name_H-M_alt 'I a -3 d'
_space_group_IT_number 230
_space_group_name_Hall '-I 4bd 2c 3'
_cell_length_a 12.7813
_cell_length_b 12.7813
_cell_length_c 12.7813
_cell_angle_alpha 90.00
_cell_angle_beta 90.00
_cell_angle_gamma 90.00
loop_
_atom_site_label
_atom_site_fract_x
_atom_site_fract_y
_atom_site_fract_z
Pm1 0.0000 0.2500 0.1250
V1 0.0000 0.0000 0.0000
V2 0.0000 0.2500 0.3750
O1 0.0281 0.0557 0.6519